Record 1
Compound: IrPtF3
Source: Alexandria via LeMat-Bulk
Functional: PBE
Structure: relaxed

As for the energy above the most stable polymorph in this dataset: 0.273 eV/atom. As for the formation energy from raw total energies: 0.389 eV per atom. The calculation puts the total energy at -18.569 eV for the cell shown. The value obtained for the density is 9.34 g/cm³. Its density of states at the Fermi level is 6.3 states/eV/f.u.

The structure belongs to space group Pm-3m (No. 221); the cell edges are 4.2900, 4.2900 and 4.2900 Å and the angles 90.00°, 90.00° and 90.00°. Symmetry generates all atoms from Ir at (0.0000, 0.0000, 0.0000), Pt at (0.5000, 0.5000, 0.5000) and F at (0.0000, 0.5000, 0.5000).

=====

Record 2
Compound: NaTcCl2
Source: Alexandria via LeMat-Bulk
Functional: PBE
Structure: relaxed

As for the energy above the most stable polymorph in this dataset: 0.221 eV/atom. As for the formation energy from raw total energies: -0.137 eV per atom. The calculation puts the total energy at -63.710 eV for the cell shown. The value obtained for the density is 3.25 g/cm³. Its density of states at the Fermi level is 0.9 states/eV/f.u.

The structure belongs to space group I-42d (No. 122); the cell edges are 5.3143, 5.3143 and 13.8947 Å and the angles 90.00°, 90.00° and 90.00°. Symmetry generates all atoms from Na at (0.0000, 0.0000, 0.0000), Tc at (0.0000, 0.0000, 0.5000) and Cl at (0.1879, 0.2500, 0.6250).

=====

Record 3
Compound: TbVIr2
Source: Alexandria via LeMat-Bulk
Functional: PBE
Structure: relaxed

The value obtained for the energy of formation is -0.418 eV per atom. The calculation puts the total energy at -99.433 eV for the cell shown. The value obtained for the density is 12.85 g/cm³. Its density of states at the Fermi level is 4.9 states/eV/f.u.

The structure belongs to space group R-3m (No. 166, hexagonal axes); the cell edges are 4.2315, 4.2315 and 14.8605 Å and the angles 90.00°, 90.00° and 120.00°. Symmetry generates all atoms from Tb at (0.0000, 0.0000, 0.0000), V at (0.0000, 0.0000, 0.5000) and Ir at (0.0000, 0.0000, 0.2104).

=====

Record 4
Compound: TiTc2H
Source: Alexandria via LeMat-Bulk
Functional: PBE
Structure: relaxed

As for the energy above the most stable polymorph in this dataset: 0.320 eV/atom. The calculation puts the total energy at -117.953 eV for the cell shown. The value obtained for the density is 7.92 g/cm³. Its density of states at the Fermi level is 2.8 states/eV/f.u.

The structure belongs to space group Fm-3m (No. 225); the cell edges are 5.9000, 5.9000 and 5.9000 Å and the angles 90.00°, 90.00° and 90.00°. Symmetry generates all atoms from Ti at (0.0000, 0.0000, 0.0000), Tc at (0.2500, 0.2500, 0.2500) and H at (0.0000, 0.0000, 0.5000).

=====

Record 5
Compound: TiTeBrN2
Source: Alexandria via LeMat-Bulk
Functional: PBE
Structure: relaxed

As for the energy above the most stable polymorph in this dataset: 1.502 eV/atom. As for the formation energy from raw total energies: 1.949 eV per atom. The calculation puts the total energy at -19.616 eV for the cell shown. The value obtained for the density is 5.30 g/cm³. Its density of states at the Fermi level is 3.7 states/eV/f.u.

The structure belongs to space group P4/mmm (No. 123); the cell edges are 4.1005, 4.1005 and 5.2804 Å and the angles 90.00°, 90.00° and 90.00°. Symmetry generates all atoms from Ti at (0.0000, 0.0000, 0.0000), Te at (0.5000, 0.5000, 0.0000), Br at (0.5000, 0.5000, 0.5000) and N at (0.0000, 0.5000, 0.5000).

=====

Record 6
Compound: YBi3Sb
Source: Alexandria via LeMat-Bulk
Functional: PBE
Structure: relaxed

As for the energy above the most stable polymorph in this dataset: 0.014 eV/atom. As for the formation energy from raw total energies: 0.497 eV per atom. The calculation puts the total energy at -19.742 eV for the cell shown. The value obtained for the density is 6.92 g/cm³. Its density of states at the Fermi level is 6.0 states/eV/f.u.

The structure belongs to space group Pm-3m (No. 221); the cell edges are 5.8587, 5.8587 and 5.8587 Å and the angles 90.00°, 90.00° and 90.00°. Symmetry generates all atoms from Y at (0.0000, 0.0000, 0.0000), Bi at (0.0000, 0.0000, 0.5000) and Sb at (0.5000, 0.5000, 0.5000).

=====

Record 7
Compound: TmRuN2
Source: Alexandria via LeMat-Bulk
Functional: PBE
Structure: relaxed

As for the formation energy from raw total energies: -0.661 eV per atom. The calculation puts the total energy at -99.129 eV for the cell shown. The value obtained for the density is 10.86 g/cm³. Its density of states at the Fermi level is 3.7 states/eV/f.u.

The structure belongs to space group R-3m (No. 166, hexagonal axes); the cell edges are 3.3133, 3.3133 and 14.3828 Å and the angles 90.00°, 90.00° and 120.00°. Symmetry generates all atoms from Tm at (0.0000, 0.0000, 0.0000), Ru at (0.0000, 0.0000, 0.5000) and N at (0.0000, 0.0000, 0.2393).

=====

Record 8
Compound: Cr2Re2Cl
Source: Alexandria via LeMat-Bulk
Functional: PBE
Structure: relaxed

As for the energy above the most stable polymorph in this dataset: 0.000 eV/atom. As for the formation energy from raw total energies: 0.606 eV per atom. The calculation puts the total energy at -85.916 eV for the cell shown. The value obtained for the density is 11.20 g/cm³. Its density of states at the Fermi level is 2.6 states/eV/f.u.

The structure belongs to space group P4/mbm (No. 127); the cell edges are 7.2979, 7.2979 and 2.8487 Å and the angles 90.00°, 90.00° and 90.00°. Symmetry generates all atoms from Cr at (0.1410, 0.3590, 0.0000), Re at (0.1420, 0.6420, 0.5000) and Cl at (0.0000, 0.0000, 0.5000).

=====

Record 9
Compound: BaPuPt
Source: Alexandria via LeMat-Bulk
Functional: PBE
Structure: relaxed

The value obtained for the energy of formation is -0.250 eV per atom. As for the energy above the most stable polymorph in this dataset: 0.287 eV/atom. The calculation puts the total energy at -23.044 eV for the cell shown. The value obtained for the density is 9.65 g/cm³. Its density of states at the Fermi level is 12.3 states/eV/f.u.

The structure belongs to space group P3m1 (No. 156); the cell edges are 4.8038, 4.8038 and 4.9644 Å and the angles 90.00°, 90.00° and 120.00°. Symmetry generates all atoms from Ba at (0.0000, 0.0000, 0.0000), Pu at (0.6667, 0.3333, 0.5002) and Pt at (0.3333, 0.6667, 0.4986).

=====

Record 10
Compound: Dy12H5Os3
Source: Alexandria via LeMat-Bulk
Functional: PBE
Structure: relaxed

The calculation puts the total energy at -892.297 eV for the cell shown. The value obtained for the density is 9.79 g/cm³. Its density of states at the Fermi level is 11.1 states/eV/f.u.

The structure belongs to space group Ia-3d (No. 230); the cell edges are 15.0751, 15.0751 and 15.0751 Å and the angles 90.00°, 90.00° and 90.00°. Symmetry generates all atoms from Dy at (0.0321, 0.0618, 0.6562), H at (0.0000, 0.0000, 0.0000), H at (0.0000, 0.2500, 0.3750) and Os at (0.0000, 0.2500, 0.1250).

=====

Record 11
Compound: Sc3GeTe
Source: Alexandria via LeMat-Bulk
Functional: PBE
Structure: relaxed

As for the energy above the most stable polymorph in this dataset: 0.145 eV/atom. As for the formation energy from raw total energies: -0.673 eV per atom. The calculation puts the total energy at -120.475 eV for the cell shown. The value obtained for the density is 4.56 g/cm³. Its density of states at the Fermi level is 4.8 states/eV/f.u.

The structure belongs to space group C2/m (No. 12); the cell edges are 11.2565, 6.5028 and 7.6433 Å and the angles 90.00°, 119.36° and 90.00°. Symmetry generates all atoms from Sc at (0.0940, 0.0000, 0.2880), Sc at (0.1537, 0.2476, 0.7133), Ge at (0.1678, 0.0000, 0.0046) and Te at (0.1145, 0.5000, 0.3436).

=====

Record 12
Compound: Ca5Hg4Pb
Source: Alexandria via LeMat-Bulk
Functional: PBE
Structure: relaxed

The value obtained for the energy of formation is -0.554 eV per atom. The calculation puts the total energy at -20.462 eV for the cell shown. The value obtained for the density is 7.24 g/cm³. Its density of states at the Fermi level is 6.4 states/eV/f.u.

The structure belongs to space group P4/mmm (No. 123); the cell edges are 3.7983, 3.7983 and 19.2398 Å and the angles 90.00°, 90.00° and 90.00°. Symmetry generates all atoms from Ca at (0.0000, 0.0000, 0.0000), Ca at (0.0000, 0.0000, 0.1964), Ca at (0.0000, 0.0000, 0.3920), Hg at (0.5000, 0.5000, 0.0975), Hg at (0.5000, 0.5000, 0.2942) and Pb at (0.5000, 0.5000, 0.5000).